Entry from Alexandria via LeMat-Bulk: crystalline Tl2In2HgPb4 at its relaxed geometry (GGA-PBE).

a b c (Å): 5.9666 9.3181 7.6708
angles (deg): 121.60 128.87 83.51
Element x y z (fractional)
In1 0.7692 0.1088 0.5518
In2 0.2308 0.8912 0.4482
Pb1 0.3267 0.3218 0.6627
Pb2 0.4460 0.7847 0.8940
Pb3 0.6733 0.6782 0.3373
Pb4 0.5540 0.2153 0.1060
Tl1 0.1117 0.4387 0.2196
Tl2 0.8883 0.5613 0.7804
Hg1 0.0000 0.0000 0.0000

Symmetry   No. 2
Calculated density   10.4 g/cm³
Energy of formation from the pure elements   0.01 eV per atom

---

Entry from Alexandria via LeMat-Bulk: crystalline Tl2InHg2Pb2 at its relaxed geometry (GGA-PBE).

a b c (Å): 3.3275 5.9082 11.1257
angles (deg): 83.96 90.00 106.36
Element x y z (fractional)
In1 0.0000 0.0000 0.5000
Tl1 0.7104 0.4209 0.6397
Tl2 0.2896 0.5791 0.3603
Pb1 0.4239 0.8478 0.7825
Pb2 0.5761 0.1522 0.2175
Hg1 0.3484 0.6968 0.0689
Hg2 0.6516 0.3031 0.9311

Symmetry   No. 12
Calculated density   10.7 g/cm³
Energy of formation from the pure elements   0.04 eV per atom

---

Q: What is the energy of formation from the pure elements in the second record?
A: 0.04 eV per atom